# 1
A plane-wave DFT calculation with GGA-PBE was carried out for an optimized crystal structure of Dy8YSb6.

Cell: 4.3400 11.3419 11.3419 Å, 120.00 90.00 90.00°
Element x y z (fractional)
Dy 0.7618 0.6691 0.9592
Dy 0.7618 0.0408 0.7100
Dy 0.7618 0.2900 0.3309
Dy 0.2382 0.3309 0.0408
Dy 0.2382 0.9592 0.2900
Dy 0.2382 0.7100 0.6691
Dy 0.7593 0.6667 0.3333
Dy 0.2407 0.3333 0.6667
Y 0.5000 0.0000 0.0000
Sb 0.7402 0.5188 0.6483
Sb 0.7402 0.3517 0.8705
Sb 0.7402 0.1295 0.4812
Sb 0.2598 0.4812 0.3517
Sb 0.2598 0.6483 0.1295
Sb 0.2598 0.8705 0.5188

## Properties
- Symmetry: P-3, No. 147
- Uncorrected formation energy: -0.592 eV per atom
- Total magnetization: 2.7 μB/f.u.

***

# 2
A plane-wave DFT calculation with GGA-PBE was carried out for an optimized crystal structure of Dy5Y2Sb5.

Cell: 4.3436 7.4173 12.5802 Å, 108.32 90.00 107.03°
Element x y z (fractional)
Dy 0.5000 0.0000 0.5000
Dy 0.6596 0.3192 0.0363
Dy 0.7225 0.4449 0.3438
Dy 0.2775 0.5551 0.6562
Dy 0.3404 0.6808 0.9637
Y 0.0439 0.0877 0.7849
Y 0.9561 0.9123 0.2151
Sb 0.1195 0.2390 0.4328
Sb 0.6975 0.3949 0.7927
Sb 0.3025 0.6051 0.2073
Sb 0.8805 0.7610 0.5672
Sb 0.0000 0.0000 0.0000

## Properties
- Symmetry: C2/m, No. 12
- Uncorrected formation energy: -0.858 eV per atom
- Total magnetization: 0.0 μB/f.u.

***

# 3
A plane-wave DFT calculation with GGA-PBE was carried out for an optimized crystal structure of Dy2Y5Sb5.

Cell: 4.3470 7.4191 12.6044 Å, 108.09 90.00 107.04°
Element x y z (fractional)
Dy 0.0441 0.0882 0.7858
Dy 0.9559 0.9118 0.2142
Y 0.5000 0.0000 0.5000
Y 0.6595 0.3190 0.0372
Y 0.7245 0.4491 0.3457
Y 0.2755 0.5509 0.6543
Y 0.3405 0.6810 0.9628
Sb 0.1185 0.2370 0.4308
Sb 0.6966 0.3933 0.7930
Sb 0.3034 0.6067 0.2070
Sb 0.8815 0.7630 0.5692
Sb 0.0000 0.0000 0.0000

## Properties
- Symmetry: C2/m, No. 12
- Uncorrected formation energy: -0.876 eV per atom
- Total magnetization: 0.0 μB/f.u.

***

# 4
A plane-wave DFT calculation with GGA-PBE was carried out for an optimized crystal structure of DyYSb.

Cell: 3.9591 5.0748 5.0748 Å, 120.00 90.00 90.00°
Element x y z (fractional)
Y 0.5967 0.6667 0.3333
Sb 0.3311 0.3333 0.6667
Dy 0.0722 0.0000 0.0000

## Properties
- Symmetry: P3m1, No. 156
- Uncorrected formation energy: -0.442 eV per atom
- Total magnetization: 0.0 μB/f.u.

***

> Among the records above, which one has the lowest uncorrected formation energy?

Dy2Y5Sb5